[1]
A plane-wave DFT calculation with PBE-GGA was carried out for an optimized crystal structure of CaPrMg2Tl4.

DFT formation energy: -0.275 eV/atom
SG: R-3m (166)

```
CaPrMg2Tl4
1.0
2.6599 1.5357 8.8269
-2.6599 1.5357 8.8269
0.0000 -3.0714 8.8269
Ca Pr Mg Tl
1 1 2 4
Direct
0.0000 0.0000 0.0000
0.5000 0.5000 0.5000
0.2501 0.2501 0.2501
0.7499 0.7499 0.7499
0.1223 0.1223 0.1223
0.3736 0.3736 0.3736
0.6264 0.6264 0.6264
0.8777 0.8777 0.8777
```

=====

[2]
A plane-wave DFT calculation with PBE-GGA was carried out for an optimized crystal structure of MgNi2Sn2.

DFT formation energy: -0.128 eV/atom
SG: P4/mbm (127)

```
MgNi2Sn2
1.0
7.1829 0.0000 0.0000
0.0000 7.1829 0.0000
0.0000 0.0000 3.4015
Mg Ni Sn
2 4 4
Direct
0.0000 0.0000 0.0000
0.5000 0.5000 0.0000
0.1285 0.3715 0.0000
0.3715 0.8715 0.0000
0.6285 0.1285 0.0000
0.8715 0.6285 0.0000
0.1669 0.6669 0.5000
0.3331 0.1669 0.5000
0.6669 0.8331 0.5000
0.8331 0.3331 0.5000
```

=====

[3]
A plane-wave DFT calculation with PBE-GGA was carried out for an optimized crystal structure of LiEuBiPd.

DFT formation energy: -0.635 eV/atom
SG: F-43m (216)

```
LiEuBiPd
1.0
0.0000 3.5291 3.5291
3.5291 0.0000 3.5291
3.5291 3.5291 0.0000
Li Eu Bi Pd
1 1 1 1
Direct
0.0000 0.0000 0.0000
0.2500 0.2500 0.2500
0.7500 0.7500 0.7500
0.5000 0.5000 0.5000
```

=====

[4]
A plane-wave DFT calculation with PBE-GGA was carried out for an optimized crystal structure of La2Nd2HoEr2.

DFT formation energy: 0.026 eV/atom
SG: C2/m (12)

```
La2Nd2HoEr2
1.0
5.7138 -2.5698 0.0000
5.7138 2.5698 0.0000
-1.1646 0.0000 8.0715
La Nd Ho Er
2 2 1 2
Direct
0.1421 0.1421 0.4246
0.8579 0.8579 0.5754
0.2854 0.2854 0.8601
0.7146 0.7146 0.1399
0.0000 0.0000 0.0000
0.4298 0.4298 0.2840
0.5702 0.5702 0.7160
```

=====

Q: The highest DFT formation energy belongs to which entry?
A: La2Nd2HoEr2

=====

Please write out number 2 again, unchanged.
A plane-wave DFT calculation with PBE-GGA was carried out for an optimized crystal structure of MgNi2Sn2.

DFT formation energy: -0.128 eV/atom
SG: P4/mbm (127)

```
MgNi2Sn2
1.0
7.1829 0.0000 0.0000
0.0000 7.1829 0.0000
0.0000 0.0000 3.4015
Mg Ni Sn
2 4 4
Direct
0.0000 0.0000 0.0000
0.5000 0.5000 0.0000
0.1285 0.3715 0.0000
0.3715 0.8715 0.0000
0.6285 0.1285 0.0000
0.8715 0.6285 0.0000
0.1669 0.6669 0.5000
0.3331 0.1669 0.5000
0.6669 0.8331 0.5000
0.8331 0.3331 0.5000
```

=====

Q: DFT formation energy of number 1 (CaPrMg2Tl4)?
A: -0.275 eV/atom